(1)
Compound: LaAgOs4
Source: the Alexandria database
Functional: PBE-GGA
Structure: optimized geometry

Structure (CIF):
```
data_LaAgOs4
_chemical_formula_sum 'La4 Ag4 Os16'
_cell_length_a 7.5860
_cell_length_b 7.5860
_cell_length_c 7.5860
_cell_angle_alpha 90.00
_cell_angle_beta 90.00
_cell_angle_gamma 90.00
_space_group_name_H-M_alt 'F -4 3 m'
_space_group_IT_number 216
_space_group_name_Hall 'F -4 2 3'
loop_
_atom_site_label
_atom_site_type_symbol
_atom_site_fract_x
_atom_site_fract_y
_atom_site_fract_z
La1 La 0.0000 0.0000 0.0000
Ag1 Ag 0.2500 0.2500 0.2500
Os1 Os 0.1244 0.1244 0.6244
```

Results
Calculated total energy ... -8.372 eV/atom
Magnetic moment ... 0.086 μB/atom
Energy relative to the elements ... 0.41 eV/atom



(2)
Compound: KBaN2F
Source: the Alexandria database
Functional: PBE-GGA
Structure: optimized geometry

Structure (CIF):
```
data_KBaN2F
_chemical_formula_sum 'K1 Ba1 N2 F1'
_cell_length_a 4.9646
_cell_length_b 4.9646
_cell_length_c 4.6695
_cell_angle_alpha 90.00
_cell_angle_beta 90.00
_cell_angle_gamma 90.00
_space_group_name_H-M_alt 'P 4/m m m'
_space_group_IT_number 123
_space_group_name_Hall '-P 4 2'
loop_
_atom_site_label
_atom_site_type_symbol
_atom_site_fract_x
_atom_site_fract_y
_atom_site_fract_z
K1 K 0.0000 0.0000 0.0000
Ba1 Ba 0.5000 0.5000 0.5000
N1 N 0.0000 0.5000 0.0000
F1 F 0.0000 0.0000 0.5000
```

Results
E above lowest polymorph ... 0.2379 eV/atom
Calculated total energy ... -4.063 eV/atom
Magnetic moment ... 0.800 μB/atom
Formation energy from raw total energies ... 1.23 eV per formula unit



(3)
Compound: Cu2TeSe
Source: the Alexandria database
Functional: PBE-GGA
Structure: optimized geometry

Structure (CIF):
```
data_Cu2TeSe
_chemical_formula_sum 'Cu4 Te2 Se2'
_cell_length_a 3.6520
_cell_length_b 3.6520
_cell_length_c 12.5709
_cell_angle_alpha 90.00
_cell_angle_beta 90.00
_cell_angle_gamma 90.00
_space_group_name_H-M_alt 'I -4 m 2'
_space_group_IT_number 119
_space_group_name_Hall 'I -4 -2'
loop_
_atom_site_label
_atom_site_type_symbol
_atom_site_fract_x
_atom_site_fract_y
_atom_site_fract_z
Cu1 Cu 0.0000 0.0000 0.0000
Cu2 Cu 0.0000 0.5000 0.2500
Te1 Te 0.0000 0.0000 0.5000
Se1 Se 0.0000 0.5000 0.7500
```

Results
E above lowest polymorph ... 0.3600 eV/atom
Calculated total energy ... -3.427 eV/atom
Magnetic moment ... 0.000 μB/atom
Formation energy from raw total energies ... 1.11 eV per formula unit



(4)
Compound: Sc2Tl3VS6
Source: the Alexandria database
Functional: PBE-GGA
Structure: optimized geometry

Structure (CIF):
```
data_Sc2Tl3VS6
_chemical_formula_sum 'Sc4 Tl6 V2 S12'
_cell_length_a 6.4680
_cell_length_b 11.1798
_cell_length_c 7.7826
_cell_angle_alpha 90.00
_cell_angle_beta 106.07
_cell_angle_gamma 90.00
_space_group_name_H-M_alt 'C 1 2/m 1'
_space_group_IT_number 12
loop_
_space_group_symop_operation_xyz
'x,y,z'
'-x,-y,-z'
'-x,y,-z'
'x,-y,z'
'x+1/2,y+1/2,z'
'-x+1/2,-y+1/2,-z'
'-x+1/2,y+1/2,-z'
'x+1/2,-y+1/2,z'
loop_
_atom_site_label
_atom_site_type_symbol
_atom_site_fract_x
_atom_site_fract_y
_atom_site_fract_z
Sc1 Sc 0.0000 0.1663 0.0000
Tl1 Tl 0.0000 0.0000 0.5000
Tl2 Tl 0.0000 0.3292 0.5000
V1 V 0.0000 0.5000 0.0000
S1 S 0.2214 0.3403 0.1844
S2 S 0.2424 0.0000 0.1892
```

Results
Calculated total energy ... -5.579 eV/atom
Magnetic moment ... 0.167 μB/atom
Formation energy from raw total energies ... -13.30 eV per formula unit



(5)
Compound: BaTa2Ni
Source: the Alexandria database
Functional: PBE-GGA
Structure: optimized geometry

Structure (CIF):
```
data_BaTa2Ni
_chemical_formula_sum 'Ba2 Ta4 Ni2'
_cell_length_a 5.6599
_cell_length_b 11.4526
_cell_length_c 3.1884
_cell_angle_alpha 90.00
_cell_angle_beta 123.87
_cell_angle_gamma 90.00
_space_group_name_H-M_alt 'C 1 2/m 1'
_space_group_IT_number 12
loop_
_space_group_symop_operation_xyz
'x,y,z'
'-x,-y,-z'
'-x,y,-z'
'x,-y,z'
'x+1/2,y+1/2,z'
'-x+1/2,-y+1/2,-z'
'-x+1/2,y+1/2,-z'
'x+1/2,-y+1/2,z'
loop_
_atom_site_label
_atom_site_type_symbol
_atom_site_fract_x
_atom_site_fract_y
_atom_site_fract_z
Ba1 Ba 0.0000 0.0000 0.0000
Ta1 Ta 0.2500 0.2500 0.5000
Ni1 Ni 0.0000 0.5000 0.0000
```

Results
E above lowest polymorph ... 0.5823 eV/atom
Calculated total energy ... -6.857 eV/atom
Magnetic moment ... 0.000 μB/atom
Energy relative to the elements ... 0.99 eV/atom



(6)
Compound: LaZr2Nb
Source: the Alexandria database
Functional: PBE-GGA
Structure: optimized geometry

Structure (CIF):
```
data_LaZr2Nb
_chemical_formula_sum 'La1 Zr2 Nb1'
_cell_length_a 3.5341
_cell_length_b 3.5341
_cell_length_c 7.8849
_cell_angle_alpha 90.00
_cell_angle_beta 90.00
_cell_angle_gamma 90.00
_space_group_name_H-M_alt 'P 4/m m m'
_space_group_IT_number 123
_space_group_name_Hall '-P 4 2'
loop_
_atom_site_label
_atom_site_type_symbol
_atom_site_fract_x
_atom_site_fract_y
_atom_site_fract_z
La1 La 0.0000 0.0000 0.0000
Zr1 Zr 0.5000 0.5000 0.2995
Nb1 Nb 0.0000 0.0000 0.5000
```

Results
E above lowest polymorph ... 0.0000 eV/atom
Calculated total energy ... -7.899 eV/atom
Magnetic moment ... 0.000 μB/atom
Energy relative to the elements ... 0.12 eV/atom